A plane-wave DFT calculation with PBE+U was carried out for an optimized crystal structure of FePOsO2.

Structure (POSCAR):
```
FePOsO2
1.0
-1.0859 -3.3491 -0.2446
1.1156 -0.1173 -3.3462
5.8242 -2.0354 2.0132
P Os Fe O
1 1 1 2
direct
0.0000 0.0000 0.5000 P
0.5000 0.5000 0.5000 Os
0.0000 0.0000 0.0000 Fe
0.0000 0.5000 0.0000 O
0.5000 0.0000 0.0000 O
```

Its uncorrected energy is -6.085 eV per atom. As for the offset from the most stable computed form: 2.32 eV per formula unit.